DFT (PBE) results for a relaxed structure of NaTi3Ru.

Properties
**Offset from the most stable computed form**: 0 meV per atom
**Calculated density**: 4.01 g/cm³
**ΔH_f (0 K)**: 2.3 eV per formula unit

Unit cell a=4.804 b=4.804 c=4.804 alpha=90.00 beta=90.00 gamma=90.00
Atoms (fractional coordinates):
1 Na 0.000 0.000 0.000
2 Ti 0.000 0.500 0.500
3 Ti 0.500 0.000 0.500
4 Ti 0.500 0.500 0.000
5 Ru 0.500 0.500 0.500